Record 1
VASP calculation (PBE) on a relaxed structure of CaCuNiSn.

Cell: 4.654 4.654 4.654 Å, 60.00 60.00 60.00°
Element x y z (fractional)
Ca  0.000  0.000  0.000
Cu  0.750  0.750  0.750
Ni  0.250  0.250  0.250
Sn  0.500  0.500  0.500

- Final energy: -4.1689 eV per atom
- Size of the total moment: 0.000 μB per formula unit
- ΔH_f (0 K): -0.8 eV/f.u.

Record 2
VASP calculation (PBE) on a relaxed structure of SrCaCuNi.

Cell: 5.097 5.097 5.097 Å, 60.00 60.00 60.00°
Element x y z (fractional)
Sr  0.000  0.000  0.000
Ca  0.500  0.500  0.500
Cu  0.750  0.750  0.750
Ni  0.250  0.250  0.250

- Final energy: -3.3287 eV per atom
- Size of the total moment: 0.000 μB per formula unit
- ΔH_f (0 K): 0.2 eV/f.u.

Record 3
VASP calculation (PBE) on a relaxed structure of CaTbCuNi.

Cell: 4.878 4.878 4.878 Å, 60.00 60.00 60.00°
Element x y z (fractional)
Ca  0.000  0.000  0.000
Tb  0.500  0.500  0.500
Cu  0.250  0.250  0.250
Ni  0.750  0.750  0.750

- Final energy: -4.2813 eV per atom
- Size of the total moment: 0.000 μB per formula unit
- ΔH_f (0 K): -0.6 eV/f.u.

Record 4
VASP calculation (PBE) on a relaxed structure of Ca2TiCuNi.

Cell: 5.221 5.221 4.537 Å, 90.00 90.00 90.00°
Element x y z (fractional)
Ca  0.000  0.500  0.000
Ca  0.500  0.000  0.000
Ti  0.000  0.000  0.500
Cu  0.500  0.500  0.500
Ni  0.500  0.500  0.000

- Final energy: -3.7080 eV per atom
- Size of the total moment: 0.285 μB per formula unit
- ΔH_f (0 K): 3.2 eV/f.u.

Record 5
VASP calculation (PBE) on a relaxed structure of CaYCuNi.

Cell: 4.879 4.879 4.879 Å, 60.00 60.00 60.00°
Element x y z (fractional)
Ca  0.000  0.000  0.000
Y  0.500  0.500  0.500
Cu  0.250  0.250  0.250
Ni  0.750  0.750  0.750

- Final energy: -4.7398 eV per atom
- Size of the total moment: 0.000 μB per formula unit
- ΔH_f (0 K): -0.6 eV/f.u.

Record 6
VASP calculation (PBE) on a relaxed structure of Ca2Zn12CuNi3.

Cell: 7.876 7.876 7.876 Å, 64.77 64.77 64.77°
Element x y z (fractional)
Ca  0.110  0.110  0.110
Ca  0.890  0.890  0.890
Zn  0.142  0.616  0.616
Zn  0.177  0.177  0.636
Zn  0.177  0.636  0.177
Zn  0.364  0.823  0.823
Zn  0.384  0.384  0.858
Zn  0.384  0.858  0.384
Zn  0.616  0.142  0.616
Zn  0.616  0.616  0.142
Zn  0.636  0.177  0.177
Zn  0.823  0.364  0.823
Zn  0.823  0.823  0.364
Zn  0.858  0.384  0.384
Cu  0.500  0.500  0.500
Ni  0.000  0.500  0.500
Ni  0.500  0.000  0.500
Ni  0.500  0.500  0.000

- Final energy: -2.0809 eV per atom
- Size of the total moment: 0.000 μB per formula unit
- ΔH_f (0 K): 3.3 eV/f.u.

Record 7
VASP calculation (PBE) on a relaxed structure of Ca2Zn12Cu3Ni.

Cell: 10.052 10.052 10.052 Å, 36.62 36.62 36.62°
Element x y z (fractional)
Ca  0.147  0.147  0.147
Ca  0.853  0.853  0.853
Zn  0.086  0.086  0.683
Zn  0.086  0.683  0.086
Zn  0.143  0.579  0.579
Zn  0.317  0.914  0.914
Zn  0.421  0.421  0.857
Zn  0.421  0.857  0.421
Zn  0.579  0.143  0.579
Zn  0.579  0.579  0.143
Zn  0.683  0.086  0.086
Zn  0.857  0.421  0.421
Zn  0.914  0.317  0.914
Zn  0.914  0.914  0.317
Cu  0.000  0.500  0.500
Cu  0.500  0.000  0.500
Cu  0.500  0.500  0.000
Ni  0.500  0.500  0.500

- Final energy: -2.0650 eV per atom
- Size of the total moment: 0.000 μB per formula unit
- ΔH_f (0 K): 0.2 eV/f.u.

Record 8
VASP calculation (PBE) on a relaxed structure of CaZn3CuNi.

Cell: 6.821 6.821 5.534 Å, 90.00 90.00 124.28°
Element x y z (fractional)
Ca  0.221  0.779  0.750
Ca  0.779  0.221  0.250
Zn  0.199  0.199  0.000
Zn  0.199  0.199  0.500
Zn  0.339  0.661  0.250
Zn  0.661  0.339  0.750
Zn  0.801  0.801  0.000
Zn  0.801  0.801  0.500
Cu  0.453  0.547  0.750
Cu  0.547  0.453  0.250
Ni  0.136  0.864  0.250
Ni  0.864  0.136  0.750

- Final energy: -2.6781 eV per atom
- Size of the total moment: 0.000 μB per formula unit
- ΔH_f (0 K): -0.4 eV/f.u.

Record 9
VASP calculation (PBE) on a relaxed structure of Ca2Zn6CuNi.

Cell: 6.565 6.565 6.565 Å, 120.04 120.04 89.93°
Element x y z (fractional)
Ca  0.250  0.750  0.500
Ca  0.750  0.250  0.500
Zn  0.248  0.248  0.000
Zn  0.248  0.248  0.496
Zn  0.248  0.752  0.000
Zn  0.752  0.248  0.000
Zn  0.752  0.752  0.000
Zn  0.752  0.752  0.504
Cu  0.500  0.500  0.000
Ni  0.000  0.000  0.000

- Final energy: -2.2615 eV per atom
- Size of the total moment: 0.000 μB per formula unit
- ΔH_f (0 K): -1.1 eV/f.u.

Record 10
VASP calculation (PBE) on a relaxed structure of Ca2ZnCu2Ni5.

Cell: 8.909 8.909 3.713 Å, 90.00 90.00 90.00°
Element x y z (fractional)
Ca  0.181  0.319  0.000
Ca  0.319  0.819  0.000
Ca  0.681  0.181  0.000
Ca  0.819  0.681  0.000
Zn  0.000  0.000  0.000
Zn  0.500  0.500  0.000
Cu  0.117  0.617  0.000
Cu  0.383  0.117  0.000
Cu  0.617  0.883  0.000
Cu  0.883  0.383  0.000
Ni  0.000  0.500  0.500
Ni  0.056  0.798  0.500
Ni  0.202  0.056  0.500
Ni  0.298  0.556  0.500
Ni  0.444  0.298  0.500
Ni  0.500  0.000  0.500
Ni  0.556  0.702  0.500
Ni  0.702  0.444  0.500
Ni  0.798  0.944  0.500
Ni  0.944  0.202  0.500

- Final energy: -4.2738 eV per atom
- Size of the total moment: 0.000 μB per formula unit
- ΔH_f (0 K): -0.4 eV/f.u.

Record 11
VASP calculation (PBE) on a relaxed structure of Ca2Zn2Cu5Ni.

Cell: 9.869 9.869 3.334 Å, 90.00 90.00 90.00°
Element x y z (fractional)
Ca  0.175  0.325  0.000
Ca  0.325  0.825  0.000
Ca  0.675  0.175  0.000
Ca  0.825  0.675  0.000
Zn  0.127  0.627  0.000
Zn  0.373  0.127  0.000
Zn  0.627  0.873  0.000
Zn  0.873  0.373  0.000
Cu  0.000  0.500  0.500
Cu  0.054  0.818  0.500
Cu  0.182  0.054  0.500
Cu  0.318  0.554  0.500
Cu  0.446  0.318  0.500
Cu  0.500  0.000  0.500
Cu  0.554  0.682  0.500
Cu  0.682  0.446  0.500
Cu  0.818  0.946  0.500
Cu  0.946  0.182  0.500
Ni  0.000  0.000  0.000
Ni  0.500  0.500  0.000

- Final energy: -3.2936 eV per atom
- Size of the total moment: 0.000 μB per formula unit
- ΔH_f (0 K): -0.1 eV/f.u.

Record 12
VASP calculation (PBE) on a relaxed structure of Ca2ZnCu3Ni12.

Cell: 9.507 9.507 9.507 Å, 36.10 36.10 36.10°
Element x y z (fractional)
Ca  0.151  0.151  0.151
Ca  0.849  0.849  0.849
Zn  0.500  0.500  0.500
Cu  0.000  0.500  0.500
Cu  0.500  0.000  0.500
Cu  0.500  0.500  0.000
Ni  0.080  0.080  0.688
Ni  0.080  0.688  0.080
Ni  0.151  0.564  0.564
Ni  0.312  0.920  0.920
Ni  0.436  0.436  0.849
Ni  0.436  0.849  0.436
Ni  0.564  0.151  0.564
Ni  0.564  0.564  0.151
Ni  0.688  0.080  0.080
Ni  0.849  0.436  0.436
Ni  0.920  0.312  0.920
Ni  0.920  0.920  0.312

- Final energy: -4.5369 eV per atom
- Size of the total moment: 3.661 μB per formula unit
- ΔH_f (0 K): 5.3 eV/f.u.

Record 13
VASP calculation (PBE) on a relaxed structure of CaZnCu2Ni2.

Cell: 4.419 4.419 5.359 Å, 90.00 90.00 90.00°
Element x y z (fractional)
Ca  0.000  0.000  0.000
Zn  0.000  0.000  0.500
Cu  0.500  0.500  0.258
Cu  0.500  0.500  0.742
Ni  0.000  0.500  0.500
Ni  0.500  0.000  0.500

- Final energy: -3.6187 eV per atom
- Size of the total moment: 0.000 μB per formula unit
- ΔH_f (0 K): 1.3 eV/f.u.

Record 14
VASP calculation (PBE) on a relaxed structure of Ca2Zn3Cu12Ni.

Cell: 9.592 9.592 9.592 Å, 37.58 37.58 37.58°
Element x y z (fractional)
Ca  0.152  0.152  0.152
Ca  0.848  0.848  0.848
Zn  0.000  0.500  0.500
Zn  0.500  0.000  0.500
Zn  0.500  0.500  0.000
Cu  0.080  0.080  0.688
Cu  0.080  0.688  0.080
Cu  0.156  0.565  0.565
Cu  0.312  0.920  0.920
Cu  0.435  0.435  0.844
Cu  0.435  0.844  0.435
Cu  0.565  0.156  0.565
Cu  0.565  0.565  0.156
Cu  0.688  0.080  0.080
Cu  0.844  0.435  0.435
Cu  0.920  0.312  0.920
Cu  0.920  0.920  0.312
Ni  0.500  0.500  0.500

- Final energy: -3.3375 eV per atom
- Size of the total moment: 0.000 μB per formula unit
- ΔH_f (0 K): 2.7 eV/f.u.

Record 15
VASP calculation (PBE) on a relaxed structure of Ca2ZnCuNi.

Cell: 5.479 5.479 4.403 Å, 90.00 90.00 90.00°
Element x y z (fractional)
Ca  0.000  0.500  0.000
Ca  0.500  0.000  0.000
Zn  0.000  0.000  0.000
Cu  0.000  0.000  0.500
Ni  0.500  0.500  0.500

- Final energy: -2.5641 eV per atom
- Size of the total moment: 0.396 μB per formula unit
- ΔH_f (0 K): 2.3 eV/f.u.

Record 16
VASP calculation (PBE) on a relaxed structure of Ca2ZnCu6Ni.

Cell: 6.433 6.433 6.433 Å, 60.00 60.00 60.00°
Element x y z (fractional)
Ca  0.250  0.250  0.250
Ca  0.750  0.750  0.750
Zn  0.000  0.000  0.000
Cu  0.253  0.253  0.747
Cu  0.253  0.747  0.253
Cu  0.253  0.747  0.747
Cu  0.747  0.253  0.253
Cu  0.747  0.253  0.747
Cu  0.747  0.747  0.253
Ni  0.500  0.500  0.500

- Final energy: -3.3626 eV per atom
- Size of the total moment: 0.000 μB per formula unit
- ΔH_f (0 K): 2.0 eV/f.u.

Record 17
VASP calculation (PBE) on a relaxed structure of Ca2Zn3CuNi12.

Cell: 9.472 9.472 9.472 Å, 36.61 36.61 36.61°
Element x y z (fractional)
Ca  0.154  0.154  0.154
Ca  0.846  0.846  0.846
Zn  0.000  0.500  0.500
Zn  0.500  0.000  0.500
Zn  0.500  0.500  0.000
Cu  0.500  0.500  0.500
Ni  0.078  0.078  0.687
Ni  0.078  0.687  0.078
Ni  0.154  0.564  0.564
Ni  0.313  0.922  0.922
Ni  0.436  0.436  0.846
Ni  0.436  0.846  0.436
Ni  0.564  0.154  0.564
Ni  0.564  0.564  0.154
Ni  0.687  0.078  0.078
Ni  0.846  0.436  0.436
Ni  0.922  0.313  0.922
Ni  0.922  0.922  0.313

- Final energy: -4.3106 eV per atom
- Size of the total moment: 2.042 μB per formula unit
- ΔH_f (0 K): 3.7 eV/f.u.

Record 18
VASP calculation (PBE) on a relaxed structure of CaZnCuNi.

Cell: 4.205 4.205 5.464 Å, 113.00 113.00 60.04°
Element x y z (fractional)
Ca  0.000  0.000  0.000
Zn  0.507  0.507  0.521
Cu  0.807  0.807  0.420
Ni  0.191  0.191  0.572

- Final energy: -3.4830 eV per atom
- Size of the total moment: 0.000 μB per formula unit
- ΔH_f (0 K): -0.8 eV/f.u.

Record 19
VASP calculation (PBE) on a relaxed structure of CaZn6CuNi.

Cell: 9.372 9.372 9.372 Å, 137.54 135.31 63.34°
Element x y z (fractional)
Ca  0.303  0.053  0.250
Ca  0.697  0.947  0.750
Zn  0.077  0.438  0.253
Zn  0.077  0.824  0.639
Zn  0.105  0.855  0.250
Zn  0.315  0.176  0.753
Zn  0.315  0.562  0.139
Zn  0.355  0.605  0.750
Zn  0.645  0.395  0.250
Zn  0.685  0.438  0.861
Zn  0.685  0.824  0.247
Zn  0.895  0.145  0.750
Zn  0.923  0.176  0.361
Zn  0.923  0.562  0.747
Cu  0.000  0.500  0.500
Cu  0.500  0.500  0.000
Ni  0.000  0.000  0.500
Ni  0.000  0.500  0.000

- Final energy: -2.0269 eV per atom
- Size of the total moment: 0.000 μB per formula unit
- ΔH_f (0 K): 1.3 eV/f.u.

Record 20
VASP calculation (PBE) on a relaxed structure of Ca2Zn5Cu2Ni.

Cell: 9.748 9.748 3.640 Å, 90.00 90.00 90.00°
Element x y z (fractional)
Ca  0.181  0.319  0.000
Ca  0.319  0.819  0.000
Ca  0.681  0.181  0.000
Ca  0.819  0.681  0.000
Zn  0.000  0.500  0.500
Zn  0.051  0.811  0.500
Zn  0.189  0.051  0.500
Zn  0.311  0.551  0.500
Zn  0.449  0.311  0.500
Zn  0.500  0.000  0.500
Zn  0.551  0.689  0.500
Zn  0.689  0.449  0.500
Zn  0.811  0.949  0.500
Zn  0.949  0.189  0.500
Cu  0.119  0.619  0.000
Cu  0.381  0.119  0.000
Cu  0.619  0.881  0.000
Cu  0.881  0.381  0.000
Ni  0.000  0.000  0.000
Ni  0.500  0.500  0.000

- Final energy: -2.5498 eV per atom
- Size of the total moment: 0.000 μB per formula unit
- ΔH_f (0 K): -1.2 eV/f.u.